First-principles (PBE-GGA) data for SnPRhS2 after structural relaxation, as listed in Alexandria.

## Properties
* calculated volume: 24.02 A^3/atom
* formation energy from raw total energies: 1184 meV/atom
* mass density: 4.38 Mg/m³
* SG: P4/mmm

Lattice parameters (Å, degrees): 4.9032 4.9032 4.9957 90.00 90.00 90.00
Site moments in Bohr magnetons follow the coordinates.
Element x y z (fractional)
P1 0.0000 0.0000 0.5000  0.00
S1 0.0000 0.5000 0.0000  0.14
S2 0.5000 0.0000 0.0000  0.14
Rh1 0.5000 0.5000 0.5000  1.30
Sn1 0.0000 0.0000 0.0000  -0.01